{
  "formula": "LaZnRu2",
  "functional": "PBE-GGA",
  "state": "relaxed",
  "lattice_angstrom": [[-1.5883, 2.3206, 4.9659], [1.5883, -2.3206, 4.9659], [1.5883, 2.3206, -4.9659]],
  "species": ["La", "Zn", "Ru", "Ru"],
  "fractional_positions": [[0.0000, 0.0000, 0.0000], [0.7203, 0.2203, 0.5000], [0.2696, 0.7696, 0.5000], [0.4919, 0.4919, 0.0000]],
  "crystal_system": "orthorhombic",
  "energy_ev_per_cell": -24.3
}